First-principles (GGA-PBE) data for crystalline Sr3Sn5I12 at its relaxed geometry, as listed in Alexandria via LeMat-Bulk.

Calculated values
Density of states at the Fermi level   52.2 states/eV per cell
Raw formation energy   -11.94 eV/f.u.
E_tot   -2.780 eV per atom
Space-group type   Ia-3d

```
Sr3Sn5I12
1.0
-7.3179 2.1443 15.2296
5.3651 -16.0947 -1.5052
13.2757 10.5697 -1.4584
Sn I Sr
20 48 12
Direct
0.3750 0.2500 0.1250 Sn
0.0000 0.0000 0.0000 Sn
0.8750 0.2500 0.6250 Sn
0.0000 0.5000 0.0000 Sn
0.2500 0.3750 0.6250 Sn
0.6250 0.8750 0.2500 Sn
0.0000 0.0000 0.5000 Sn
0.3750 0.1250 0.7500 Sn
0.1250 0.3750 0.2500 Sn
0.2500 0.8750 0.1250 Sn
0.5000 0.5000 0.0000 Sn
0.6250 0.7500 0.8750 Sn
0.5000 0.0000 0.0000 Sn
0.1250 0.7500 0.3750 Sn
0.8750 0.6250 0.7500 Sn
0.7500 0.1250 0.8750 Sn
0.0000 0.5000 0.5000 Sn
0.5000 0.5000 0.5000 Sn
0.7500 0.6250 0.3750 Sn
0.5000 0.0000 0.5000 Sn
0.7199 0.5817 0.1677 I
0.4183 0.2801 0.3323 I
0.8617 0.2801 0.4477 I
0.3617 0.4140 0.0817 I
0.8323 0.9140 0.0523 I
0.2199 0.6677 0.0817 I
0.4477 0.7801 0.8617 I
0.7199 0.1383 0.0523 I
0.2801 0.8617 0.9477 I
0.9183 0.0860 0.6383 I
0.4140 0.0523 0.3323 I
0.0860 0.1677 0.4477 I
0.8323 0.9183 0.2801 I
0.1677 0.0860 0.9477 I
0.0860 0.9183 0.1383 I
0.9140 0.8323 0.5523 I
0.5817 0.7199 0.6677 I
0.6383 0.5860 0.9183 I
0.2801 0.4183 0.8323 I
0.9477 0.5860 0.1677 I
0.2199 0.5523 0.6383 I
0.3323 0.7801 0.4183 I
0.6677 0.4477 0.5860 I
0.3617 0.9477 0.7801 I
0.1383 0.7199 0.5523 I
0.7801 0.3323 0.9183 I
0.0817 0.1677 0.2199 I
0.5523 0.2199 0.1383 I
0.3323 0.5523 0.4140 I
0.6383 0.0523 0.2199 I
0.1677 0.0817 0.7199 I
0.9183 0.8323 0.7801 I
0.8617 0.5817 0.9140 I
0.5523 0.3323 0.9140 I
0.5860 0.6383 0.4183 I
0.0523 0.6383 0.7199 I
0.7801 0.4477 0.3617 I
0.4140 0.3617 0.5817 I
0.9477 0.3617 0.2801 I
0.9140 0.0817 0.8617 I
0.0523 0.4140 0.8323 I
0.0817 0.9140 0.3617 I
0.4183 0.1383 0.5860 I
0.6677 0.2199 0.5817 I
0.1383 0.4183 0.0860 I
0.4477 0.6677 0.0860 I
0.5860 0.9477 0.6677 I
0.5817 0.8617 0.4140 I
0.3750 0.6250 0.2500 Sr
0.6250 0.3750 0.7500 Sr
0.8750 0.7500 0.1250 Sr
0.8750 0.1250 0.2500 Sr
0.7500 0.8750 0.6250 Sr
0.7500 0.3750 0.1250 Sr
0.1250 0.2500 0.8750 Sr
0.3750 0.7500 0.6250 Sr
0.1250 0.8750 0.7500 Sr
0.2500 0.1250 0.3750 Sr
0.2500 0.6250 0.8750 Sr
0.6250 0.2500 0.3750 Sr
```